No. 1
VASP calculation (GGA-PBE) on an optimized crystal structure of Sc2AlPt.

Cell lengths 6.559, 6.559, 6.559 Å; angles 90.00, 90.00, 90.00 degrees
Space group F-43m (No. 216)
Inequivalent atoms, fractional coordinates:
1 Sc 0.000 0.000 0.000 x4
2 Sc 0.250 0.250 0.250 x4
3 Al 0.000 0.000 0.500 x4
4 Pt 0.250 0.250 0.750 x4

Formation energy from the elements, eV per atom: -0.693



No. 2
VASP calculation (GGA-PBE) on an optimized crystal structure of ZrAlAsBr2.

Cell lengths 5.375, 5.375, 5.276 Å; angles 90.00, 90.00, 90.00 degrees
Space group P4/mmm (No. 123)
Inequivalent atoms, fractional coordinates:
1 Zr 0.000 0.000 0.000 x1
2 Al 0.500 0.500 0.500 x1
3 As 0.000 0.000 0.500 x1
4 Br 0.000 0.500 0.000 x2

E above lowest polymorph, eV per atom: 0.000
ΔE_f (raw), eV per atom: -0.28



No. 3
VASP calculation (GGA-PBE) on an optimized crystal structure of HgRuSe2.

Cell lengths 4.134, 4.134, 8.810 Å; angles 90.00, 90.00, 90.00 degrees
Space group I-4m2 (No. 119)
Inequivalent atoms, fractional coordinates:
1 Hg 0.000 0.000 0.000 x2
2 Ru 0.000 0.500 0.750 x2
3 Se 0.000 0.000 0.500 x2
4 Se 0.000 0.500 0.250 x2

ΔE_f (raw), eV per atom: 0.66



No. 4
VASP calculation (GGA-PBE) on an optimized crystal structure of LaPm2Sm4Sc.

Cell lengths 5.078, 5.077, 10.266 Å; angles 90.00, 90.05, 90.00 degrees
Space group P2/m (No. 10)
Inequivalent atoms, fractional coordinates:
1 La 0.000 0.000 0.000 x1
2 Pm 0.000 0.000 0.500 x1
3 Pm 0.500 0.500 0.500 x1
4 Sm 0.000 0.500 0.246 x2
5 Sm 0.500 0.000 0.246 x2
6 Sc 0.500 0.500 0.000 x1

Formation energy from the elements, eV per atom: 0.034



No. 5
VASP calculation (GGA-PBE) on an optimized crystal structure of Li2BiPd5.

Cell lengths 6.783, 6.783, 10.995 Å; angles 90.00, 90.00, 90.00 degrees
Space group I4/mcm (No. 140)
Inequivalent atoms, fractional coordinates:
1 Li 0.148 0.352 0.000 x8
2 Bi 0.000 0.000 0.250 x4
3 Pd 0.000 0.000 0.000 x4
4 Pd 0.147 0.353 0.350 x16

E above lowest polymorph, eV per atom: 0.098
Formation energy from the elements, eV per atom: -0.290



No. 6
VASP calculation (GGA-PBE) on an optimized crystal structure of ZrPtCl2.

Cell lengths 4.722, 4.722, 6.708 Å; angles 90.00, 90.00, 90.00 degrees
Space group I-4m2 (No. 119)
Inequivalent atoms, fractional coordinates:
1 Zr 0.000 0.000 0.000 x2
2 Pt 0.000 0.500 0.750 x2
3 Cl 0.000 0.000 0.500 x2
4 Cl 0.000 0.500 0.250 x2

E above lowest polymorph, eV per atom: 0.628
ΔE_f (raw), eV per atom: -0.54



no.,DFT total energy (eV/cell),ρ (g/cm3)
1,-100.873,7.34
2,-21.682,3.84
3,-27.803,10.14
4,-39.366,6.75
5,-143.979,9.91
6,-40.845,7.93